No. 1
## LaPa2In9 (GGA-PBE)

Data for a geometry-optimized LaPa2In9 structure.

```
LaPa2In9
1.0
4.6910 0.0000 0.0000
0.0000 4.6910 0.0000
0.0000 0.0000 14.0644
La Pa In
1 2 9
Cartesian
0.0000 0.0000 0.0000
0.0000 0.0000 4.7376
0.0000 0.0000 9.3268
2.3455 2.3455 0.0000
2.3455 2.3455 4.7221
2.3455 2.3455 9.3423
2.3455 0.0000 2.4232
2.3455 0.0000 7.0322
2.3455 0.0000 11.6413
0.0000 2.3455 2.4232
0.0000 2.3455 7.0322
0.0000 2.3455 11.6413
```

Calculated values
E_tot in eV for the cell shown: -51.539



No. 2
## FeSiTc2 (GGA-PBE)

Data for a geometry-optimized FeSiTc2 structure.

```
FeSiTc2
1.0
2.9643 -0.0037 0.0000
0.0044 2.9643 0.0000
0.0000 0.0000 5.9706
Fe Si Tc
1 1 2
Cartesian
1.4844 1.4803 1.4927
1.4844 1.4803 4.4780
0.0000 0.0000 5.9322
0.0000 0.0000 3.0238
```

Calculated values
E_tot in eV for the cell shown: -35.439
Raw formation energy in meV/atom: -205



No. 3
## Tb6SmTm3 (GGA-PBE)

Data for a geometry-optimized Tb6SmTm3 structure.

```
Tb6SmTm3
1.0
-5.9759 -1.5131 0.3176
2.3834 -10.1245 -3.3880
-0.0105 2.2868 10.6974
Tb Sm Tm
12 2 6
Cartesian
1.4760 -5.8180 4.2390
-1.7263 -5.4633 5.6589
-0.9007 -3.7905 8.5151
-2.8854 -9.7483 2.7710
-0.1933 -10.1815 -2.6127
-3.1926 -2.1824 6.9383
0.8418 -6.8513 0.6222
-5.3561 0.3379 10.3431
-2.0654 0.0563 4.9276
-4.0500 -5.9016 -0.8165
0.6944 -3.2365 1.8315
-2.5079 -2.8818 3.2514
-0.3857 -0.4738 7.8592
-1.9601 -8.5587 -0.2990
-0.5016 -8.5438 4.6548
-4.0146 -6.5786 7.9025
0.4799 -2.6476 5.2472
-1.9746 -6.1694 2.2677
-5.5725 -1.4327 3.1035
-2.0596 -3.3979 -0.1442
```

Calculated values
E_tot in eV for the cell shown: -88.819
Energy above the most stable polymorph in this dataset in meV/atom: 24.6



No. 4
## CaPr3Bi3 (GGA-PBE)

Data for a geometry-optimized CaPr3Bi3 structure.

```
CaPr3Bi3
1.0
9.5220 0.0000 0.0000
4.7610 8.2463 0.0000
4.7610 2.7488 6.5021
Ca Pr Bi
2 6 6
Cartesian
4.7610 2.7488 0.0198
14.2829 8.2463 6.4822
10.7475 8.7865 4.8263
11.7576 2.7916 4.8263
6.0608 4.9144 4.8263
12.9831 6.0807 1.6758
7.2864 8.2034 1.6758
8.2964 2.2085 1.6758
6.5478 5.0546 1.5781
11.3927 3.1433 1.5781
10.6255 8.2947 1.5781
8.4185 2.7003 4.9240
7.6513 7.8517 4.9240
12.4961 5.9405 4.9240
```

Calculated values
E_tot in eV for the cell shown: -66.460



No. 5
## LiSnPb4 (GGA-PBE)

Data for a geometry-optimized LiSnPb4 structure.

```
LiSnPb4
1.0
-3.1824 -1.1161 -3.5809
-3.1753 -1.6979 3.3512
-3.0995 6.9515 0.5877
Li Sn Pb
1 1 4
Cartesian
-4.7148 1.7674 3.6312
-6.2677 5.5351 0.4562
-5.6061 -0.3574 1.7068
-7.0046 2.7783 1.9728
-3.8270 4.1847 2.0876
-2.4290 1.0486 1.8225
```

Calculated values
E_tot in eV for the cell shown: -20.673



No. 6
## NdDy4Pd2 (GGA-PBE)

Data for a geometry-optimized NdDy4Pd2 structure.

```
NdDy4Pd2
1.0
-1.8432 1.4926 3.1782
1.7066 -0.2309 3.5722
6.6865 13.7480 -0.1046
Nd Dy Pd
1 4 2
Cartesian
3.2750 7.5048 3.3229
5.9681 13.3471 4.6152
1.9519 5.3962 6.0199
0.5818 1.6626 2.0307
4.5980 9.6134 0.6259
1.2668 3.5293 4.0253
5.2831 11.4803 2.6205
```

Calculated values
E_tot in eV for the cell shown: -36.160



No. 7
## MgZnHg4 (GGA-PBE)

Data for a geometry-optimized MgZnHg4 structure.

```
MgZnHg4
1.0
-5.1731 2.9844 -2.6892
-3.7924 -2.1811 4.8746
1.3312 5.4306 3.4656
Mg Zn Hg
2 2 8
Cartesian
0.6656 2.7153 1.7328
-3.8171 3.1170 2.8255
-4.4827 0.4016 1.0927
0.0000 0.0000 0.0000
-3.8542 3.2980 5.7917
-5.8256 5.1440 3.6564
-3.0902 5.7508 1.6557
-6.5156 2.3291 1.8601
-1.1187 3.9048 3.7908
-4.5441 0.4831 3.9953
-1.8087 1.0900 1.9946
-3.7801 2.9360 -0.1407
```

Calculated values
E_tot in eV for the cell shown: -8.572
Energy above the most stable polymorph in this dataset in meV/atom: 0.0



No. 8
## Pa3Tc5P2 (GGA-PBE)

Data for a geometry-optimized Pa3Tc5P2 structure.

```
Pa3Tc5P2
1.0
5.8142 0.0000 0.0000
2.9071 8.1858 -0.0843
2.9071 2.0910 7.9146
Pa Tc P
6 10 4
Cartesian
1.4536 0.0000 0.0000
4.3607 0.0000 0.0000
5.8142 5.1288 6.8276
5.8142 5.1480 1.0027
8.7213 7.9439 3.1330
2.9071 2.3329 4.6973
4.3606 5.1384 3.9152
7.2677 5.1384 3.9152
7.2677 7.6373 5.8192
7.2678 2.6395 2.0111
4.3606 2.6395 2.0111
4.3606 7.6373 5.8192
2.9071 4.7496 1.8706
8.7213 5.5272 5.9597
5.8142 3.0639 4.0829
5.8142 7.2128 3.7475
5.8142 7.9059 7.6912
5.8142 2.3708 0.1392
8.7213 9.5134 5.5815
2.9071 0.7633 2.2489
```

Calculated values
E_tot in eV for the cell shown: -187.471



No. 9
## HoAlZnPd (GGA-PBE)

Data for a geometry-optimized HoAlZnPd structure.

```
HoAlZnPd
1.0
-0.4297 4.4142 -1.4732
0.3683 0.9904 -4.5523
-3.7801 1.2974 -2.4224
Zn Ho Pd Al
1 1 1 1
Cartesian
0.0000 0.0000 0.0000
-2.8811 5.0266 -6.3359
-1.9207 3.3510 -4.2240
-0.9604 1.6755 -2.1120
```

Calculated values
E_tot in eV for the cell shown: -17.296



No. 10
## ZnCr2Fe (GGA-PBE)

Data for a geometry-optimized ZnCr2Fe structure.

```
ZnCr2Fe
1.0
-5.8981 5.5019 3.1002
-5.4431 4.2012 5.2337
-3.9534 6.1572 4.5966
Cr Fe Zn
2 1 1
Cartesian
-15.2513 15.8154 12.8940
-3.7594 3.8985 3.1783
-7.7178 8.0032 6.5249
-11.5080 11.9336 9.7293
```

Calculated values
E_tot in eV for the cell shown: -28.062



No. 11
## PrTmPd3 (GGA-PBE)

Data for a geometry-optimized PrTmPd3 structure.

```
PrTmPd3
1.0
5.7788 0.0000 0.0000
0.0000 9.1732 0.8499
0.0000 -2.2536 8.0093
Pr Tm Pd
4 4 12
Cartesian
5.2177 5.1500 2.2713
0.5610 1.7696 6.5879
2.3283 2.8964 2.5832
3.4504 4.0232 6.2759
1.6311 7.2129 5.8219
4.1477 -0.2933 3.0372
4.5205 -1.4201 7.0419
1.2583 8.3397 1.8173
1.1252 0.3933 3.5329
4.6535 6.5263 5.3262
4.0146 7.6531 1.3216
1.7642 -0.7335 7.5376
2.6309 6.2058 3.4187
3.1478 0.7138 5.4405
5.5203 1.8406 1.4358
0.2584 5.0790 7.4233
0.8827 4.4649 4.8261
4.8961 2.4547 4.0331
3.7721 1.3279 8.0377
2.0067 5.5917 0.8214
```

Calculated values
E_tot in eV for the cell shown: -115.503



No. 12
## Mn2TcHg (GGA-PBE)

Data for a geometry-optimized Mn2TcHg structure.

```
Mn2TcHg
1.0
3.0167 0.0000 0.0000
0.0000 3.0308 0.0007
0.0000 3.0288 6.8816
Hg Mn Tc
1 2 1
Cartesian
1.5083 4.5447 5.1617
0.0000 3.0292 0.2146
0.0000 3.0313 3.2273
1.5083 1.5149 1.7206
```

Calculated values
E_tot in eV for the cell shown: -27.982



Repeat the fourth record exactly.
## CaPr3Bi3 (GGA-PBE)

Data for a geometry-optimized CaPr3Bi3 structure.

```
CaPr3Bi3
1.0
9.5220 0.0000 0.0000
4.7610 8.2463 0.0000
4.7610 2.7488 6.5021
Ca Pr Bi
2 6 6
Cartesian
4.7610 2.7488 0.0198
14.2829 8.2463 6.4822
10.7475 8.7865 4.8263
11.7576 2.7916 4.8263
6.0608 4.9144 4.8263
12.9831 6.0807 1.6758
7.2864 8.2034 1.6758
8.2964 2.2085 1.6758
6.5478 5.0546 1.5781
11.3927 3.1433 1.5781
10.6255 8.2947 1.5781
8.4185 2.7003 4.9240
7.6513 7.8517 4.9240
12.4961 5.9405 4.9240
```

Calculated values
E_tot in eV for the cell shown: -66.460



Among the records above, which one has the lowest E_tot?
Pa3Tc5P2



Among the records above, which one has the highest E_tot?
MgZnHg4